Computed, not measured: an optimized crystal structure of Ac6Ir3S2Br at the PBE level of DFT.

extended XYZ file:
```
12
Lattice="9.846 -2.153 0.000 9.846 2.153 0.000 -2.796 0.000 8.711" Properties=species:S:1:pos:R:3 pbc="T T T"
Ac -0.526 0.000 1.933
Ac 5.146 0.000 3.714
Ac 4.095 0.000 7.906
Ac 12.802 0.000 0.805
Ac 11.750 0.000 4.997
Ac 17.423 0.000 6.778
Ir 2.329 0.000 2.877
Ir 9.846 0.000 0.000
Ir 14.568 0.000 5.834
S 0.935 0.000 7.208
S 15.962 0.000 1.503
Br 8.448 0.000 4.355
```

space group = No. 12
density = 9.36 g cm⁻³
formation energy (no corrections) = -1.24 eV per atom